Crystalline CaTb8In6 at its relaxed geometry, computed with PBE-GGA. Values from VASP.

Properties
ρ	7.121	g/cm³
energy relative to the elements	-3.32	eV per formula unit

Geometry as Quantum ESPRESSO input:
```
&SYSTEM
  ibrav = 0, nat = 15, ntyp = 3
/
ATOMIC_SPECIES
In 114.82 In.upf
Tb 158.93 Tb.upf
Ca 40.08 Ca.upf
CELL_PARAMETERS angstrom
-1.299 -7.916 -4.353
0.215 -7.852 4.647
-6.722 -4.799 1.165
ATOMIC_POSITIONS crystal
In 0.058 0.722 0.824
In 0.722 0.395 0.824
In 0.278 0.605 0.176
In 0.395 0.058 0.824
In 0.942 0.278 0.176
In 0.605 0.942 0.176
Tb 0.334 0.334 0.999
Tb 0.218 0.887 0.337
Tb 0.887 0.558 0.337
Tb 0.782 0.113 0.663
Tb 0.442 0.782 0.663
Tb 0.113 0.442 0.663
Tb 0.558 0.218 0.337
Tb 0.666 0.666 0.001
Ca 0.000 0.000 0.000
```